# 1
Sm2RhCl2: relaxed, PBE.

Computed properties:
As for the magnetization: 0.0 μB per formula unit. The crystal system is monoclinic. The formation energy from raw total energies comes out at -7.4 eV per formula unit.

Structure (POSCAR):
```
Sm2RhCl2
1.0
3.459 -1.996 0.000
3.459 1.996 0.000
-2.522 0.000 10.808
Sm Rh Cl
2 1 2
Cartesian
1.153 0.000 1.673 Sm
3.243 0.000 9.135 Sm
3.459 0.000 0.000 Rh
-1.370 0.000 7.378 Cl
5.767 0.000 3.430 Cl
```

# 2
Sm2RhCl: relaxed, PBE.

Computed properties:
As for the magnetization: 0.0 μB per formula unit. As for the excess energy over the best structure of this formula in the dataset: 0.025 eV per atom. The crystal system is trigonal. The formation energy from raw total energies comes out at -4.6 eV per formula unit.

Structure (POSCAR):
```
Sm2RhCl
1.0
2.011 1.161 7.653
-2.011 1.161 7.653
0.000 -2.322 7.653
Sm Rh Cl
2 1 1
Cartesian
0.000 0.000 0.000 Sm
0.000 0.000 4.583 Sm
0.000 0.000 13.764 Rh
0.000 0.000 9.835 Cl
```

# 3
Sm3RhCl3: relaxed, PBE.

Computed properties:
As for the magnetization: 0.0 μB per formula unit. The crystal system is cubic. The formation energy from raw total energies comes out at -10.9 eV per formula unit.

Structure (POSCAR):
```
Sm3RhCl3
1.0
-5.820 5.820 5.820
5.820 -5.820 5.820
5.820 5.820 -5.820
Sm Rh Cl
12 4 12
Cartesian
1.591 1.455 -1.319 Sm
7.139 1.591 -1.455 Sm
1.455 -1.319 1.591 Sm
4.500 4.229 -1.455 Sm
4.229 1.455 1.319 Sm
-1.319 1.591 1.455 Sm
4.229 -1.455 4.500 Sm
1.455 1.319 4.229 Sm
1.319 4.229 1.455 Sm
1.591 -1.455 7.139 Sm
-1.455 7.139 1.591 Sm
-1.455 4.500 4.229 Sm
4.365 1.455 -1.455 Rh
1.455 1.455 1.455 Rh
1.455 -1.455 4.365 Rh
-1.455 4.365 1.455 Rh
7.275 1.435 1.475 Cl
7.275 -1.435 4.345 Cl
4.345 7.275 -1.435 Cl
4.385 1.475 4.365 Cl
4.365 4.385 1.475 Cl
1.475 7.275 1.435 Cl
7.255 4.345 4.365 Cl
1.475 4.365 4.385 Cl
1.435 1.475 7.275 Cl
4.365 7.255 4.345 Cl
-1.435 4.345 7.275 Cl
4.345 4.365 7.255 Cl
```

# 4
SmRhCl: relaxed, PBE.

Computed properties:
As for the magnetization: 0.0 μB per formula unit. The crystal system is trigonal. The formation energy from raw total energies comes out at -4.1 eV per formula unit.

Structure (POSCAR):
```
SmRhCl
1.0
2.141 1.236 9.943
-2.141 1.236 9.943
0.000 -2.473 9.943
Sm Rh Cl
2 2 2
Cartesian
0.000 0.000 1.851 Sm
0.000 0.000 27.980 Sm
0.000 0.000 9.996 Rh
0.000 0.000 19.834 Rh
0.000 0.000 6.499 Cl
0.000 0.000 23.331 Cl
```